# 1
{"formula": "K5LiSn6", "functional": "PBE", "state": "relaxed", "magnetic_moment_mub_per_atom": 0.0000, "ef_mev_per_atom": -145, "cell": [[9.1000, -0.3897, 1.3452], [2.1464, 6.0131, 3.6579], [-0.0010, -0.4255, 8.1011]], "species": ["Li", "Sn", "Sn", "K", "Sn", "Sn", "Sn", "K", "K", "Sn", "K", "K"], "fractional_positions": [[0.0000, 0.0000, 0.0000], [0.3213, 0.1157, 0.0000], [0.6787, 0.8843, 0.0000], [0.5000, 0.5000, 0.0000], [0.2115, 0.7391, 0.2311], [0.7885, 0.2609, 0.7689], [0.7885, 0.0298, 0.2311], [0.0000, 0.3543, 0.2914], [0.0000, 0.6457, 0.7086], [0.2115, 0.9702, 0.7689], [0.5000, 0.2277, 0.5446], [0.5000, 0.7723, 0.4554]]}

# 2
{"formula": "KLiSn", "functional": "PBE", "state": "relaxed", "magnetic_moment_mub_per_atom": 0.0000, "relative_energy_mev_per_atom": 42.1, "ef_mev_per_atom": -245, "cell": [[-6.6216, 5.6728, -7.9653], [-3.3285, -3.4353, 0.3204], [-2.4948, 3.0927, 7.2418]], "species": ["K", "Li", "K", "Sn", "Li", "Li", "K", "K", "Li", "Sn", "Sn", "Sn"], "fractional_positions": [[0.3140, 0.5000, 0.2744], [0.0171, 0.0000, 0.3396], [0.3140, 0.0000, 0.7744], [0.8797, 0.0000, 0.9585], [0.9829, 0.0000, 0.6604], [0.0171, 0.5000, 0.8396], [0.6860, 0.0000, 0.2256], [0.6860, 0.5000, 0.7256], [0.9829, 0.5000, 0.1604], [0.1203, 0.0000, 0.0415], [0.1203, 0.5000, 0.5415], [0.8797, 0.5000, 0.4585]]}

# 3
{"formula": "KLiSn2", "functional": "PBE", "state": "relaxed", "magnetic_moment_mub_per_atom": 0.0000, "relative_energy_mev_per_atom": 13.9, "ef_mev_per_atom": -249, "cell": [[3.6609, 0.0000, 0.0000], [0.0000, 3.6609, 0.0000], [0.0000, 0.0000, 8.1601]], "species": ["K", "Li", "Sn", "Sn"], "fractional_positions": [[0.5000, 0.5000, 0.5000], [0.5000, 0.5000, 0.0000], [0.0000, 0.0000, 0.1819], [0.0000, 0.0000, 0.8181]]}

# 4
{"formula": "KLi2Sn2", "functional": "PBE", "state": "relaxed", "magnetic_moment_mub_per_atom": 0.0000, "relative_energy_mev_per_atom": 0.0, "ef_mev_per_atom": -252, "cell": [[8.8232, 0.0000, 0.0000], [0.0000, 8.8232, 0.0000], [0.0000, 0.0000, 3.1991]], "species": ["Li", "Li", "Sn", "Sn", "K", "Li", "Li", "Sn", "K", "Sn"], "fractional_positions": [[0.3397, 0.8397, 0.0000], [0.1603, 0.3397, 0.0000], [0.1250, 0.6250, 0.5000], [0.3750, 0.1250, 0.5000], [0.0000, 0.0000, 0.0000], [0.8397, 0.6603, 0.0000], [0.6603, 0.1603, 0.0000], [0.8750, 0.3750, 0.5000], [0.5000, 0.5000, 0.0000], [0.6250, 0.8750, 0.5000]]}

# 5
{"formula": "KLiSn", "functional": "PBE", "state": "relaxed", "magnetic_moment_mub_per_atom": 0.0000, "relative_energy_mev_per_atom": 42.7, "ef_mev_per_atom": -245, "cell": [[4.7918, -0.0007, 0.0111], [2.3947, 4.1507, 0.0063], [-0.2055, -0.0481, 11.4056]], "species": ["Sn", "Sn", "Li", "K", "Li", "K"], "fractional_positions": [[0.9962, 0.4987, 0.8793], [0.0038, 0.5013, 0.1207], [0.3339, 0.8335, 0.0182], [0.3231, 0.8299, 0.6864], [0.6661, 0.1665, 0.9818], [0.6769, 0.1701, 0.3136]]}

# 6
{"formula": "K3LiSn4", "functional": "PBE", "state": "relaxed", "magnetic_moment_mub_per_atom": 0.0000, "ef_mev_per_atom": -301, "cell": [[6.7277, 0.0000, 0.0000], [0.0000, 6.6064, 0.0000], [0.0000, 0.0000, 13.0467]], "species": ["Sn", "K", "K", "Sn", "Sn", "Sn", "Sn", "K", "K", "Li", "Sn", "K", "Li", "K", "Sn", "Sn"], "fractional_positions": [[0.0320, 0.2408, 0.0000], [0.1808, 0.0000, 0.7481], [0.8192, 0.5000, 0.7519], [0.6827, 0.0000, 0.3840], [0.3173, 0.5000, 0.1160], [0.9680, 0.2592, 0.5000], [0.3173, 0.5000, 0.8840], [0.5380, 0.0000, 0.0000], [0.8192, 0.5000, 0.2481], [0.3115, 0.0000, 0.5000], [0.0320, 0.7592, 0.0000], [0.4620, 0.5000, 0.5000], [0.6885, 0.5000, 0.0000], [0.1808, 0.0000, 0.2519], [0.9680, 0.7408, 0.5000], [0.6827, 0.0000, 0.6160]]}

# 7
{"formula": "KLi2Sn", "functional": "PBE", "state": "relaxed", "magnetic_moment_mub_per_atom": 0.0000, "ef_mev_per_atom": -21, "cell": [[5.3969, 0.0000, 0.0000], [0.0000, 5.3969, 0.0000], [2.6985, 2.6985, 9.5339]], "species": ["Sn", "K", "Li", "Li", "Li", "Li", "Sn", "K"], "fractional_positions": [[0.0000, 0.0000, 0.0000], [0.5000, 0.5000, 0.0000], [0.8922, 0.6250, 0.2500], [0.3750, 0.1422, 0.7500], [0.8578, 0.1250, 0.2500], [0.8750, 0.1078, 0.7500], [0.7500, 0.2500, 0.5000], [0.2500, 0.7500, 0.5000]]}

# 8
{"formula": "KLiSn", "functional": "PBE", "state": "relaxed", "magnetic_moment_mub_per_atom": 0.0000, "relative_energy_mev_per_atom": 79.3, "ef_mev_per_atom": -208, "cell": [[-4.5425, 0.9431, -1.5707], [-4.1442, -2.1863, 3.1417], [-0.7679, 5.6362, 5.5789]], "species": ["Li", "Sn", "Sn", "Li", "K", "K"], "fractional_positions": [[0.6155, 0.2741, 0.4345], [0.8876, 0.7188, 0.3603], [0.1124, 0.2812, 0.6397], [0.3845, 0.7259, 0.5655], [0.1731, 0.1589, 0.1419], [0.8269, 0.8411, 0.8581]]}

# 9
{"formula": "KLiSn2", "functional": "PBE", "state": "relaxed", "magnetic_moment_mub_per_atom": 0.0000, "relative_energy_mev_per_atom": 0.0, "ef_mev_per_atom": -262, "cell": [[-0.5198, 2.3636, -3.9391], [3.3639, -5.9764, -1.3171], [-6.9123, -3.6138, -1.2563]], "species": ["K", "Sn", "Sn", "Li", "Sn", "Li", "K", "Sn"], "fractional_positions": [[0.0454, 0.0908, 0.7500], [0.3291, 0.6582, 0.9386], [0.3291, 0.6582, 0.5614], [0.2333, 0.4665, 0.2500], [0.6709, 0.3418, 0.0614], [0.7667, 0.5335, 0.7500], [0.9546, 0.9092, 0.2500], [0.6709, 0.3418, 0.4386]]}

# 10
{"formula": "K2LiTcSn", "functional": "PBE", "state": "relaxed", "magnetic_moment_mub_per_atom": 0.6738, "ef_mev_per_atom": 1196, "cell": [[6.3125, 0.0000, 0.0000], [0.0000, 4.9292, 0.0000], [0.0000, 0.0000, 6.3125]], "species": ["Sn", "K", "Li", "Tc", "K"], "fractional_positions": [[0.5000, 0.5000, 0.5000], [0.0000, 0.0000, 0.5000], [0.0000, 0.5000, 0.0000], [0.0000, 0.0000, 0.0000], [0.5000, 0.0000, 0.0000]]}

# 11
{"formula": "KLiTc2Sn", "functional": "PBE", "state": "relaxed", "magnetic_moment_mub_per_atom": 0.7569, "ef_mev_per_atom": 2432, "cell": [[-2.7284, 0.9821, 3.7667], [4.3802, -0.9443, 3.4190], [1.2268, 4.5824, -0.3062]], "species": ["Tc", "Li", "Tc", "K", "Sn"], "fractional_positions": [[0.5000, 0.0000, 0.0000], [0.5000, 0.5000, 0.5000], [0.0000, 0.0000, 0.5000], [0.0000, 0.0000, 0.0000], [0.0000, 0.5000, 0.0000]]}

# 12
{"formula": "K2LiSnTe4", "functional": "PBE", "state": "relaxed", "magnetic_moment_mub_per_atom": 0.0001, "raw_formation_energy_ev_per_atom": -0.6262, "cell": [[7.6394, 0.0000, 0.0000], [3.8197, 6.0245, 0.0000], [3.8197, 0.0000, 6.0245]], "species": ["Te", "Li", "Sn", "Te", "K", "Te", "K", "Te"], "fractional_positions": [[0.4386, 0.6476, 0.0000], [0.0000, 0.0000, 0.0000], [0.5000, 0.0000, 0.0000], [0.0861, 0.3524, 0.0000], [0.0000, 0.5000, 0.5000], [0.9139, 0.0000, 0.6476], [0.5000, 0.5000, 0.5000], [0.5614, 0.0000, 0.3524]]}

For each record above, in turn, the calculated calculated total energy values are -2.76, -2.58, -3.00, -2.84, -2.58, -2.95, -2.25, -2.55, -3.02, -2.50, -3.12, -3.21 eV per atom.
For each record above, in turn, the calculated V values are 463.0, 453.8, 109.4, 249.1, 226.9, 579.9, 277.7, 194.7, 240.7, 196.4, 127.4, 277.3 Å³/cell.